(1)
A relaxed PmScBe crystal. Source: OQMD via LeMat-Bulk, functional GGA-PBE.

Computed properties:
E = -3.984 eV/atom
Excess energy over the best structure of this formula in the dataset = 0.157 eV/atom

```
data_PmScBe
_chemical_formula_sum 'Pm4 Sc4 Be4'
_space_group_name_H-M_alt 'F -4 3 m'
_space_group_IT_number 216
_space_group_name_Hall 'F -4 2 3'
_cell_length_a 6.605
_cell_length_b 6.605
_cell_length_c 6.605
_cell_angle_alpha 90.00
_cell_angle_beta 90.00
_cell_angle_gamma 90.00
loop_
_atom_site_label
_atom_site_fract_x
_atom_site_fract_y
_atom_site_fract_z
Pm1 0.000 0.000 0.000
Sc1 0.250 0.250 0.250
Be1 0.250 0.250 0.750
```


(2)
A relaxed Pm2BeSi3 crystal. Source: OQMD via LeMat-Bulk, functional GGA-PBE.

Computed properties:
E = -5.601 eV/atom

```
data_Pm2BeSi3
_chemical_formula_sum 'Pm2 Be1 Si3'
_space_group_name_H-M_alt 'P m m 2'
_space_group_IT_number 25
_cell_length_a 3.975
_cell_length_b 4.215
_cell_length_c 6.843
_cell_angle_alpha 90.00
_cell_angle_beta 90.00
_cell_angle_gamma 90.00
loop_
_space_group_symop_operation_xyz
'x,y,z'
'-x,-y,z'
'-x,y,z'
'x,-y,z'
loop_
_atom_site_label
_atom_site_fract_x
_atom_site_fract_y
_atom_site_fract_z
Pm1 0.000 0.000 0.000
Pm2 0.500 0.000 0.500
Be1 0.000 0.500 0.673
Si1 0.000 0.500 0.349
Si2 0.500 0.500 0.164
Si3 0.500 0.500 0.819
```


(3)
A relaxed PmBeSn crystal. Source: OQMD via LeMat-Bulk, functional GGA-PBE.

Computed properties:
E = -3.764 eV/atom
Excess energy over the best structure of this formula in the dataset = 0.258 eV/atom

```
data_PmBeSn
_chemical_formula_sum 'Pm4 Be4 Sn4'
_space_group_name_H-M_alt 'F -4 3 m'
_space_group_IT_number 216
_space_group_name_Hall 'F -4 2 3'
_cell_length_a 6.958
_cell_length_b 6.958
_cell_length_c 6.958
_cell_angle_alpha 90.00
_cell_angle_beta 90.00
_cell_angle_gamma 90.00
loop_
_atom_site_label
_atom_site_fract_x
_atom_site_fract_y
_atom_site_fract_z
Pm1 0.000 0.000 0.000
Be1 0.250 0.250 0.750
Sn1 0.250 0.250 0.250
```


(4)
A relaxed PmBeSn crystal. Source: OQMD via LeMat-Bulk, functional GGA-PBE.

Computed properties:
E = -4.021 eV/atom
Excess energy over the best structure of this formula in the dataset = 0.000 eV/atom

```
data_PmBeSn
_chemical_formula_sum 'Pm4 Be4 Sn4'
_space_group_name_H-M_alt 'F -4 3 m'
_space_group_IT_number 216
_space_group_name_Hall 'F -4 2 3'
_cell_length_a 6.759
_cell_length_b 6.759
_cell_length_c 6.759
_cell_angle_alpha 90.00
_cell_angle_beta 90.00
_cell_angle_gamma 90.00
loop_
_atom_site_label
_atom_site_fract_x
_atom_site_fract_y
_atom_site_fract_z
Pm1 0.000 0.000 0.000
Be1 0.000 0.000 0.500
Sn1 0.250 0.250 0.750
```


(5)
A relaxed SrPmBe crystal. Source: OQMD via LeMat-Bulk, functional GGA-PBE.

Computed properties:
E = -2.907 eV/atom
Excess energy over the best structure of this formula in the dataset = 0.000 eV/atom

```
data_SrPmBe
_chemical_formula_sum 'Sr4 Pm4 Be4'
_space_group_name_H-M_alt 'F -4 3 m'
_space_group_IT_number 216
_space_group_name_Hall 'F -4 2 3'
_cell_length_a 7.222
_cell_length_b 7.222
_cell_length_c 7.222
_cell_angle_alpha 90.00
_cell_angle_beta 90.00
_cell_angle_gamma 90.00
loop_
_atom_site_label
_atom_site_fract_x
_atom_site_fract_y
_atom_site_fract_z
Sr1 0.000 0.000 0.000
Pm1 0.000 0.000 0.500
Be1 0.250 0.250 0.750
```


(6)
A relaxed PmTaBe crystal. Source: OQMD via LeMat-Bulk, functional GGA-PBE.

Computed properties:
E = -5.048 eV/atom
Excess energy over the best structure of this formula in the dataset = 1.011 eV/atom

```
data_PmTaBe
_chemical_formula_sum 'Pm4 Ta4 Be4'
_space_group_name_H-M_alt 'F -4 3 m'
_space_group_IT_number 216
_space_group_name_Hall 'F -4 2 3'
_cell_length_a 6.615
_cell_length_b 6.615
_cell_length_c 6.615
_cell_angle_alpha 90.00
_cell_angle_beta 90.00
_cell_angle_gamma 90.00
loop_
_atom_site_label
_atom_site_fract_x
_atom_site_fract_y
_atom_site_fract_z
Pm1 0.000 0.000 0.000
Ta1 0.250 0.250 0.250
Be1 0.250 0.250 0.750
```


no.,volume (Å³ per atom)
1,24.0
2,19.1
3,28.1
4,25.7
5,31.4
6,24.1